No. 1
Density functional theory data (GGA-PBE) for an optimized crystal structure of SiBiW4N2. Values from VASP.

```
&SYSTEM
  ibrav = 0, nat = 8, ntyp = 4
/
ATOMIC_SPECIES
W 183.84 W.upf
Si 28.09 Si.upf
N 14.01 N.upf
Bi 208.98 Bi.upf
CELL_PARAMETERS angstrom
3.0450 0.0000 0.0000
-1.5225 2.6371 0.0000
0.0000 0.0000 14.3106
ATOMIC_POSITIONS crystal
W 0.3333 0.6667 0.1285
Si 0.6667 0.3333 0.0000
W 0.6667 0.3333 0.3074
N 0.0000 0.0000 0.7781
N 0.0000 0.0000 0.2219
W 0.6667 0.3333 0.6926
W 0.3333 0.6667 0.8715
Bi 0.3333 0.6667 0.5000
```

Values from the calculation:
Total magnetization: 0.0 μB per formula unit
Raw total energy: -74.449 eV per formula unit

No. 2
Density functional theory data (GGA-PBE) for an optimized crystal structure of LuNbRe2. Values from VASP.

```
&SYSTEM
  ibrav = 0, nat = 4, ntyp = 3
/
ATOMIC_SPECIES
Re 186.21 Re.upf
Nb 92.91 Nb.upf
Lu 174.97 Lu.upf
CELL_PARAMETERS angstrom
-0.3425 -3.5799 -2.8610
0.4674 -4.2794 1.6082
-3.6513 -2.7812 0.2264
ATOMIC_POSITIONS crystal
Re 0.0000 0.0000 0.0000
Nb 0.5000 0.5000 0.5000
Re 0.7500 0.7500 0.7500
Lu 0.2500 0.2500 0.2500
```

Values from the calculation:
Total magnetization: 0.0 μB per formula unit
Formation enthalpy at 0 K: 0.102 eV per atom

No. 3
Density functional theory data (GGA-PBE) for an optimized crystal structure of AgTeNO. Values from VASP.

```
&SYSTEM
  ibrav = 0, nat = 16, ntyp = 4
/
ATOMIC_SPECIES
Ag 107.87 Ag.upf
Te 127.60 Te.upf
N 14.01 N.upf
O 16.00 O.upf
CELL_PARAMETERS angstrom
-0.9207 -7.4841 0.3855
2.6742 -0.0094 6.2047
-4.7775 0.6939 2.0601
ATOMIC_POSITIONS crystal
Ag 0.9175 0.3580 0.4989
Te 0.5699 0.8427 0.0269
Ag 0.5825 0.3580 0.9989
N 0.5635 0.9188 0.6551
Te 0.9301 0.8427 0.5269
N 0.9365 0.9188 0.1551
Ag 0.4175 0.6420 0.4989
Te 0.4301 0.1573 0.5269
O 0.1112 0.6404 0.5215
N 0.0635 0.0812 0.6551
N 0.4365 0.0812 0.1551
O 0.3888 0.6404 0.0215
O 0.8888 0.3596 0.0215
Te 0.0699 0.1573 0.0269
Ag 0.0825 0.6420 0.9989
O 0.6112 0.3596 0.5215
```

Values from the calculation:
Raw total energy: -18.429 eV per formula unit

No. 4
Density functional theory data (GGA-PBE) for an optimized crystal structure of ThU2. Values from VASP.

```
&SYSTEM
  ibrav = 0, nat = 6, ntyp = 2
/
ATOMIC_SPECIES
Th 232.04 Th.upf
U 238.03 U.upf
CELL_PARAMETERS angstrom
4.4562 2.5728 7.2769
-4.4562 2.5728 7.2769
0.0000 -5.1455 7.2769
ATOMIC_POSITIONS crystal
Th 0.5000 0.5000 0.5000
U 0.8750 0.3750 0.3750
Th 0.2500 0.2500 0.2500
U 0.3750 0.3750 0.3750
U 0.3750 0.3750 0.8750
U 0.3750 0.8750 0.3750
```

Values from the calculation:
Total magnetization: 4.1 μB per formula unit
Formation enthalpy at 0 K: 3.390 eV per atom

No. 5
Density functional theory data (GGA-PBE) for an optimized crystal structure of AcSm3S6. Values from VASP.

```
&SYSTEM
  ibrav = 0, nat = 20, ntyp = 3
/
ATOMIC_SPECIES
S 32.06 S.upf
Sm 150.36 Sm.upf
Ac 227.00 Ac.upf
CELL_PARAMETERS angstrom
11.3496 0.0000 0.0000
0.0000 4.1394 0.0000
-3.7081 0.0000 11.0605
ATOMIC_POSITIONS crystal
S 0.5222 0.7500 0.3910
S 0.6063 0.7500 0.9450
Sm 0.8383 0.7500 0.9114
S 0.0831 0.7500 0.9079
S 0.8787 0.7500 0.5378
S 0.1972 0.7500 0.2480
Sm 0.5522 0.7500 0.1674
Sm 0.4478 0.2500 0.8326
Ac 0.9473 0.7500 0.3049
S 0.2714 0.7500 0.7297
S 0.4778 0.2500 0.6090
S 0.9169 0.2500 0.0921
S 0.3937 0.2500 0.0550
Sm 0.3213 0.7500 0.4978
Ac 0.0527 0.2500 0.6951
Sm 0.6787 0.2500 0.5022
S 0.8028 0.2500 0.7520
Sm 0.1617 0.2500 0.0886
S 0.7286 0.2500 0.2703
S 0.1213 0.2500 0.4622
```

Values from the calculation:
Total magnetization: 0.0 μB per formula unit
Raw total energy: -64.112 eV per formula unit

No. 6
Density functional theory data (GGA-PBE) for an optimized crystal structure of Rb5Hg19. Values from VASP.

```
&SYSTEM
  ibrav = 0, nat = 24, ntyp = 2
/
ATOMIC_SPECIES
Hg 200.59 Hg.upf
Rb 85.47 Rb.upf
CELL_PARAMETERS angstrom
-5.8601 5.8601 5.2986
-5.8601 -5.8601 -5.2986
5.8601 -5.8601 5.2986
ATOMIC_POSITIONS crystal
Hg 0.2479 0.5917 0.0667
Rb 0.3261 0.2060 0.8799
Hg 0.7074 0.0945 0.9593
Hg 0.2926 0.9055 0.0407
Hg 0.1352 0.0945 0.3871
Hg 0.7521 0.4083 0.9333
Hg 0.6129 0.7480 0.7074
Rb 0.5000 0.0000 0.5000
Rb 0.8799 0.5538 0.6739
Hg 0.6562 0.1812 0.2479
Hg 0.3871 0.2520 0.2926
Hg 0.7500 0.5000 0.2500
Hg 0.0000 0.0000 0.0000
Hg 0.4751 0.4083 0.6562
Rb 0.1201 0.4462 0.3261
Hg 0.0407 0.7480 0.1352
Hg 0.8648 0.9055 0.6129
Hg 0.5249 0.5917 0.3438
Hg 0.3438 0.8188 0.7521
Hg 0.2500 0.5000 0.7500
Hg 0.9593 0.2520 0.8648
Hg 0.0667 0.8188 0.4751
Hg 0.9333 0.1812 0.5249
Rb 0.6739 0.7940 0.1201
```

Values from the calculation:
Raw total energy: -15.108 eV per formula unit

No. 7
Density functional theory data (GGA-PBE) for an optimized crystal structure of NaHg2Pd2. Values from VASP.

```
&SYSTEM
  ibrav = 0, nat = 10, ntyp = 3
/
ATOMIC_SPECIES
Na 22.99 Na.upf
Pd 106.42 Pd.upf
Hg 200.59 Hg.upf
CELL_PARAMETERS angstrom
-0.9341 7.9835 0.6002
-7.8987 -0.8203 -1.3808
-0.4994 -0.2860 3.0264
ATOMIC_POSITIONS crystal
Na 0.0000 0.0000 0.0000
Pd 0.6253 0.1253 0.0000
Hg 0.8287 0.3287 0.5000
Pd 0.8747 0.6253 0.0000
Hg 0.6713 0.8287 0.5000
Hg 0.3287 0.1713 0.5000
Hg 0.1713 0.6713 0.5000
Pd 0.1253 0.3747 0.0000
Na 0.5000 0.5000 0.0000
Pd 0.3747 0.8747 0.0000
```

Values from the calculation:
Raw total energy: -13.524 eV per formula unit

No. 8
Density functional theory data (GGA-PBE) for an optimized crystal structure of TbTm3Ni8. Values from VASP.

```
&SYSTEM
  ibrav = 0, nat = 12, ntyp = 3
/
ATOMIC_SPECIES
Ni 58.69 Ni.upf
Tb 158.93 Tb.upf
Tm 168.93 Tm.upf
CELL_PARAMETERS angstrom
6.5404 0.1820 5.7448
8.4605 1.5742 1.3245
5.9213 4.8841 4.1104
ATOMIC_POSITIONS crystal
Ni 0.5620 0.0616 0.5620
Tb 0.1248 0.1248 0.1248
Tm 0.9996 0.9996 0.9996
Tm 0.6250 0.6250 0.6250
Ni 0.0616 0.5620 0.5620
Ni 0.0623 0.0623 0.5644
Ni 0.5620 0.5620 0.0616
Ni 0.0623 0.5644 0.0623
Ni 0.5644 0.0623 0.0623
Tm 0.5005 0.5005 0.5005
Ni 0.3125 0.3125 0.3125
Ni 0.8127 0.8127 0.8127
```

Values from the calculation:
Total magnetization: 0.0 μB per formula unit
Formation enthalpy at 0 K: -0.481 eV per atom

No. 9
Density functional theory data (GGA-PBE) for an optimized crystal structure of Na2TlPd2Pb3. Values from VASP.

```
&SYSTEM
  ibrav = 0, nat = 8, ntyp = 4
/
ATOMIC_SPECIES
Na 22.99 Na.upf
Pb 207.20 Pb.upf
Pd 106.42 Pd.upf
Tl 204.38 Tl.upf
CELL_PARAMETERS angstrom
4.3412 0.0000 0.0000
-2.1567 5.5595 0.0000
-0.0007 -0.0339 8.2790
ATOMIC_POSITIONS crystal
Na 0.4327 0.3670 0.7481
Pb 0.8568 0.2153 0.0486
Pb 0.1434 0.7847 0.5462
Na 0.5668 0.6320 0.2509
Pb 0.1434 0.7850 0.9522
Pd 0.7158 0.9302 0.7504
Pd 0.2824 0.0661 0.2490
Tl 0.8586 0.2196 0.4546
```

Values from the calculation:
Raw total energy: -28.398 eV per formula unit

No. 10
Density functional theory data (GGA-PBE) for an optimized crystal structure of DyThIr4. Values from VASP.

```
&SYSTEM
  ibrav = 0, nat = 6, ntyp = 3
/
ATOMIC_SPECIES
Ir 192.22 Ir.upf
Dy 162.50 Dy.upf
Th 232.04 Th.upf
CELL_PARAMETERS angstrom
0.0000 3.8284 3.8284
3.8284 0.0000 3.8284
3.8284 3.8284 0.0000
ATOMIC_POSITIONS crystal
Ir 0.3745 0.3745 0.8766
Ir 0.8766 0.3745 0.3745
Dy 0.0000 0.0000 0.0000
Ir 0.3745 0.3745 0.3745
Ir 0.3745 0.8766 0.3745
Th 0.7500 0.7500 0.7500
```

Values from the calculation:
Total magnetization: 0.0 μB per formula unit
Formation enthalpy at 0 K: -0.821 eV per atom

No. 11
Density functional theory data (GGA-PBE) for an optimized crystal structure of ErCoCu. Values from VASP.

```
&SYSTEM
  ibrav = 0, nat = 3, ntyp = 3
/
ATOMIC_SPECIES
Co 58.93 Co.upf
Er 167.26 Er.upf
Cu 63.55 Cu.upf
CELL_PARAMETERS angstrom
4.2802 -0.3276 0.7048
2.3468 3.5673 0.8312
1.6050 0.6673 3.9878
ATOMIC_POSITIONS crystal
Co 0.2500 0.2500 0.2500
Er 0.0000 0.0000 0.0000
Cu 0.7500 0.7500 0.7500
```

Values from the calculation:
Total magnetization: 0.0 μB per formula unit
Formation enthalpy at 0 K: 0.645 eV per atom

No. 12
Density functional theory data (GGA-PBE) for an optimized crystal structure of ReNiPtPb. Values from VASP.

```
&SYSTEM
  ibrav = 0, nat = 4, ntyp = 4
/
ATOMIC_SPECIES
Pb 207.20 Pb.upf
Pt 195.08 Pt.upf
Ni 58.69 Ni.upf
Re 186.21 Re.upf
CELL_PARAMETERS angstrom
0.0000 3.2201 3.2201
3.2201 0.0000 3.2201
3.2201 3.2201 0.0000
ATOMIC_POSITIONS crystal
Pb 0.0000 0.0000 0.0000
Pt 0.2500 0.2500 0.2500
Ni 0.7500 0.7500 0.7500
Re 0.5000 0.5000 0.5000
```

Values from the calculation:
Total magnetization: 2.3 μB per formula unit
Raw total energy: -25.151 eV per formula unit